Compound: TaCd2Fe2
Source: Alexandria via LeMat-Bulk
Functional: GGA-PBE
Structure: relaxed

Calculated values
- distance to the lowest polymorph of the same formula (meV/atom) = 203
- volume (Å³/cell) = 88.8
- size of the total moment (μB per atom) = 0.937
- ρ (g/cm3) = 9.7
- E_form (eV per atom) = 0.625

a = 9.136 Å, b = 9.136 Å, c = 9.136 Å
α = 160.04°, β = 160.04°, γ = 28.37°
Sites, in units of the cell vectors:
Ta1 0.000 0.000 0.000
Cd1 0.383 0.383 0.000
Cd2 0.617 0.617 0.000
Fe1 0.250 0.750 0.500
Fe2 0.750 0.250 0.500